Record 1
CaAlF3: relaxed, PBE.

Calculated values
The total moment comes out at 0.00 μB per formula unit. The energy above the most stable polymorph in this dataset comes out at 0.0 meV per atom. Its symmetry is Pm-3m. The calculation puts the total energy at -24.8 eV per cell. The uncorrected formation energy comes out at -1296 kJ/mol of formula units. The calculation puts the density of states at the Fermi level at 0.0 states/eV per cell.

```
CaAlF3
1.0
4.4645 0.0000 0.0000
0.0000 4.4645 0.0000
0.0000 0.0000 4.4645
Ca Al F
1 1 3
Cartesian
0.0000 0.0000 0.0000
2.2323 2.2323 2.2323
0.0000 0.0000 2.2323
0.0000 2.2323 0.0000
2.2323 0.0000 0.0000
```

Record 2
CaAl2F8: relaxed, PBE.

Calculated values
The total moment comes out at 0.00 μB per formula unit. The energy above the most stable polymorph in this dataset comes out at 0.0 meV per atom. Its symmetry is C2/c. The calculation puts the total energy at -128.1 eV per cell. The uncorrected formation energy comes out at -3822 kJ/mol of formula units. The calculation puts the density of states at the Fermi level at 0.0 states/eV per cell.

```
CaAl2F8
1.0
3.3928 -5.4878 0.0000
3.3928 5.4878 0.0000
-0.1043 0.0000 7.6460
Ca Al F
2 4 16
Cartesian
3.3146 5.1406 5.7345
3.3667 -5.1406 1.9115
1.6964 2.7439 0.0000
3.3146 1.4145 5.7345
1.6442 -2.7439 3.8230
3.3667 -1.4145 1.9115
2.8451 4.1547 0.2237
2.0055 2.8653 5.8176
3.8884 4.1547 3.5993
2.0208 0.2822 5.4767
3.0366 1.6337 7.5480
2.0729 -0.2822 1.6537
3.5926 1.6337 3.9210
4.6236 2.8653 5.6514
2.0577 -2.8653 1.9946
3.0887 -1.6337 3.7250
4.6084 0.2822 5.9923
3.6447 -1.6337 0.0980
4.6605 -0.2822 2.1693
2.7929 -4.1547 4.0467
4.6758 -2.8653 1.8284
3.8362 -4.1547 7.4223
```

Record 3
CaAlF3: relaxed, PBE.

Calculated values
The total moment comes out at 0.00 μB per formula unit. The energy above the most stable polymorph in this dataset comes out at 369.3 meV per atom. Its symmetry is Pm-3m. The calculation puts the total energy at -22.9 eV per cell. The uncorrected formation energy comes out at -1118 kJ/mol of formula units. The calculation puts the density of states at the Fermi level at 0.8 states/eV per cell.

```
CaAlF3
1.0
4.2778 0.0000 0.0000
0.0000 4.2778 0.0000
0.0000 0.0000 4.2778
Ca Al F
1 1 3
Cartesian
0.0000 0.0000 0.0000
2.1389 2.1389 2.1389
0.0000 2.1389 2.1389
2.1389 0.0000 2.1389
2.1389 2.1389 0.0000
```

Record 4
CaAl2F8: relaxed, PBE.

Calculated values
The total moment comes out at 0.21 μB per formula unit. The energy above the most stable polymorph in this dataset comes out at 112.5 meV per atom. Its symmetry is C2/m. The calculation puts the total energy at -62.8 eV per cell. The uncorrected formation energy comes out at -3703 kJ/mol of formula units. The calculation puts the density of states at the Fermi level at 0.0 states/eV per cell.

```
CaAl2F8
1.0
5.3920 -2.8189 0.0000
5.3920 2.8189 0.0000
-1.7595 0.0000 5.5097
Ca Al F
1 2 8
Cartesian
0.0000 0.0000 0.0000
0.9620 0.0000 3.8311
8.0625 0.0000 1.6787
3.6612 1.5627 1.0751
0.9376 0.0000 2.1115
5.3633 1.5627 4.4347
2.5769 0.0000 4.2898
6.4476 0.0000 1.2199
3.6612 -1.5627 1.0751
8.0869 0.0000 3.3982
5.3633 -1.5627 4.4347
```

Record 5
CaAl2F: relaxed, PBE.

Calculated values
The total moment comes out at 0.00 μB per formula unit. The energy above the most stable polymorph in this dataset comes out at 479.9 meV per atom. Its symmetry is Fm-3m. The calculation puts the total energy at -48.0 eV per cell. The uncorrected formation energy comes out at -62 kJ/mol of formula units. The calculation puts the density of states at the Fermi level at 18.8 states/eV per cell.

```
CaAl2F
1.0
7.0505 0.0000 0.0000
0.0000 7.0505 0.0000
0.0000 0.0000 7.0505
Ca Al F
4 8 4
Cartesian
0.0000 0.0000 0.0000
0.0000 3.5252 3.5252
3.5252 0.0000 3.5252
3.5252 3.5252 0.0000
1.7626 1.7626 1.7626
1.7626 1.7626 5.2879
1.7626 5.2879 1.7626
1.7626 5.2879 5.2879
5.2879 1.7626 1.7626
5.2879 1.7626 5.2879
5.2879 5.2879 1.7626
5.2879 5.2879 5.2879
0.0000 0.0000 3.5252
0.0000 3.5252 0.0000
3.5252 0.0000 0.0000
3.5252 3.5252 3.5252
```

Record 6
CaAlF5: relaxed, PBE.

Calculated values
The total moment comes out at 0.00 μB per formula unit. The energy above the most stable polymorph in this dataset comes out at 3.4 meV per atom. Its symmetry is P2_1/c. The calculation puts the total energy at -164.9 eV per cell. The uncorrected formation energy comes out at -2520 kJ/mol of formula units. The calculation puts the density of states at the Fermi level at 0.0 states/eV per cell.

```
CaAlF5
1.0
5.4137 0.0000 0.0000
0.0000 9.9650 0.0000
-2.5302 0.0000 6.9728
Ca Al F
4 4 20
Cartesian
-0.5007 0.1800 1.7751
-1.7658 4.8025 5.2615
4.6493 5.1625 1.7113
3.3842 9.7850 5.1977
0.6337 2.4664 4.1849
1.8988 2.5161 0.6985
0.9846 7.4489 6.2743
2.2497 7.4986 2.7879
-0.7277 1.2410 3.8698
0.5374 3.7415 0.3834
0.7858 1.1851 0.0854
-0.4793 3.7974 3.5718
0.9556 6.3307 2.4974
-0.3095 8.6168 5.9838
1.1091 2.1526 2.3797
-0.1560 2.8299 5.8661
-0.0112 6.0967 5.7097
1.2539 8.8508 2.2233
1.6296 1.1142 4.7495
2.8947 3.8683 1.2631
3.0395 7.1351 1.1067
1.7743 7.8124 4.5931
3.1930 1.3482 0.9890
1.9279 3.6343 4.4754
3.3627 6.1676 3.4010
2.0976 8.7799 6.8874
2.3460 6.2235 6.5894
3.6111 8.7240 3.1030
```